# 1
A plane-wave DFT calculation with PBE was carried out for crystalline AgAu2Br2 at its relaxed geometry.

POSCAR file:
```
AgAu2Br2
1.0
7.821 0.000 0.000
0.000 7.821 0.000
0.000 0.000 4.091
Ag Au Br
2 4 4
Direct
0.000 0.000 0.000 Ag
0.500 0.500 0.000 Ag
0.120 0.380 0.500 Au
0.380 0.880 0.500 Au
0.620 0.120 0.500 Au
0.880 0.620 0.500 Au
0.210 0.710 0.000 Br
0.290 0.210 0.000 Br
0.710 0.790 0.000 Br
0.790 0.290 0.000 Br
```

Summary:
Calculated volume, Å³ per atom: 25.03
Energy, eV per cell: -22.9
Mass density, Mg/m³: 8.8
E_form (uncorrected), eV/atom: 0.2595
DOS(E_F), states/eV/atom: 0.35
Excess energy over the best structure of this formula in the dataset, meV/atom: 82

# 2
A plane-wave DFT calculation with PBE was carried out for crystalline Ag3AuBr6 at its relaxed geometry.

POSCAR file:
```
Ag3AuBr6
1.0
7.221 0.000 0.000
0.000 8.173 0.000
-3.686 0.000 11.279
Ag Au Br
6 2 12
Direct
0.000 0.000 0.000 Ag
0.000 0.500 0.500 Ag
0.080 0.155 0.644 Ag
0.080 0.345 0.144 Ag
0.920 0.655 0.856 Ag
0.920 0.845 0.356 Ag
0.500 0.000 0.500 Au
0.500 0.500 0.000 Au
0.092 0.020 0.226 Br
0.092 0.480 0.726 Br
0.257 0.657 0.067 Br
0.257 0.843 0.567 Br
0.376 0.241 0.061 Br
0.376 0.259 0.561 Br
0.624 0.741 0.439 Br
0.624 0.759 0.939 Br
0.743 0.157 0.433 Br
0.743 0.343 0.933 Br
0.908 0.520 0.274 Br
0.908 0.980 0.774 Br
```

Summary:
Calculated volume, Å³ per atom: 33.28
Energy, eV per cell: -48.7
Mass density, Mg/m³: 5.0
E_form (uncorrected), eV/atom: -0.2461
Excess energy over the best structure of this formula in the dataset, meV/atom: 0

# 3
A plane-wave DFT calculation with PBE was carried out for crystalline AgAu4Br at its relaxed geometry.

POSCAR file:
```
AgAu4Br
1.0
0.000 3.960 3.960
3.960 0.000 3.960
3.960 3.960 0.000
Ag Au Br
1 4 1
Direct
0.000 0.000 0.000 Ag
0.124 0.625 0.625 Au
0.625 0.124 0.625 Au
0.625 0.625 0.124 Au
0.625 0.625 0.625 Au
0.250 0.250 0.250 Br
```

Summary:
Calculated volume, Å³ per atom: 20.70
Energy, eV per cell: -16.8
Mass density, Mg/m³: 13.0
E_form (uncorrected), eV/atom: 0.1403
DOS(E_F), states/eV/atom: 0.05

# 4
A plane-wave DFT calculation with PBE was carried out for crystalline Ag5Au3Br12 at its relaxed geometry.

POSCAR file:
```
Ag5Au3Br12
1.0
-8.503 8.503 8.503
8.503 -8.503 8.503
8.503 8.503 -8.503
Ag Au Br
20 12 48
Direct
0.000 0.000 0.000 Ag
0.000 0.000 0.500 Ag
0.000 0.500 0.000 Ag
0.000 0.500 0.500 Ag
0.125 0.750 0.875 Ag
0.125 0.875 0.250 Ag
0.250 0.125 0.875 Ag
0.250 0.625 0.375 Ag
0.375 0.250 0.625 Ag
0.375 0.625 0.750 Ag
0.500 0.000 0.000 Ag
0.500 0.000 0.500 Ag
0.500 0.500 0.000 Ag
0.500 0.500 0.500 Ag
0.625 0.375 0.250 Ag
0.625 0.750 0.375 Ag
0.750 0.375 0.625 Ag
0.750 0.875 0.125 Ag
0.875 0.125 0.750 Ag
0.875 0.250 0.125 Ag
0.125 0.250 0.375 Au
0.125 0.375 0.750 Au
0.250 0.375 0.125 Au
0.250 0.875 0.625 Au
0.375 0.125 0.250 Au
0.375 0.750 0.125 Au
0.625 0.250 0.875 Au
0.625 0.875 0.750 Au
0.750 0.125 0.375 Au
0.750 0.625 0.875 Au
0.875 0.625 0.250 Au
0.875 0.750 0.625 Au
0.031 0.645 0.205 Br
0.031 0.887 0.826 Br
0.060 0.174 0.705 Br
0.060 0.387 0.355 Br
0.113 0.174 0.969 Br
0.113 0.440 0.145 Br
0.145 0.113 0.440 Br
0.145 0.531 0.705 Br
0.174 0.705 0.060 Br
0.174 0.969 0.113 Br
0.205 0.031 0.645 Br
0.205 0.674 0.560 Br
0.295 0.855 0.469 Br
0.295 0.940 0.826 Br
0.326 0.387 0.531 Br
0.326 0.440 0.795 Br
0.355 0.060 0.387 Br
0.355 0.795 0.969 Br
0.387 0.355 0.060 Br
0.387 0.531 0.326 Br
0.440 0.145 0.113 Br
0.440 0.795 0.326 Br
0.469 0.295 0.855 Br
0.469 0.674 0.613 Br
0.531 0.326 0.387 Br
0.531 0.705 0.145 Br
0.560 0.205 0.674 Br
0.560 0.855 0.887 Br
0.613 0.469 0.674 Br
0.613 0.645 0.940 Br
0.645 0.205 0.031 Br
0.645 0.940 0.613 Br
0.674 0.560 0.205 Br
0.674 0.613 0.469 Br
0.705 0.060 0.174 Br
0.705 0.145 0.531 Br
0.795 0.326 0.440 Br
0.795 0.969 0.355 Br
0.826 0.031 0.887 Br
0.826 0.295 0.940 Br
0.855 0.469 0.295 Br
0.855 0.887 0.560 Br
0.887 0.560 0.855 Br
0.887 0.826 0.031 Br
0.940 0.613 0.645 Br
0.940 0.826 0.295 Br
0.969 0.113 0.174 Br
0.969 0.355 0.795 Br
```

Summary:
Calculated volume, Å³ per atom: 30.74
Energy, eV per cell: -189.4
Mass density, Mg/m³: 5.6
E_form (uncorrected), eV/atom: -0.1590
DOS(E_F), states/eV/atom: 0.40

# 5
A plane-wave DFT calculation with PBE was carried out for crystalline AgAuBr at its relaxed geometry.

POSCAR file:
```
AgAuBr
1.0
0.000 2.943 6.319
1.800 0.000 6.319
1.800 2.943 0.000
Ag Au Br
1 1 1
Direct
0.000 0.000 0.000 Ag
0.339 0.339 0.661 Au
0.665 0.665 0.335 Br
```

Summary:
Calculated volume, Å³ per atom: 22.31
Energy, eV per cell: -7.3
Mass density, Mg/m³: 9.5
E_form (uncorrected), eV/atom: 0.1603
DOS(E_F), states/eV/atom: 0.21
Excess energy over the best structure of this formula in the dataset, meV/atom: 140

# 6
A plane-wave DFT calculation with PBE was carried out for crystalline AgAuBr2 at its relaxed geometry.

POSCAR file:
```
AgAuBr2
1.0
0.000 3.581 3.581
3.581 0.000 3.581
3.581 3.581 0.000
Ag Au Br
1 1 2
Direct
0.000 0.000 0.000 Ag
0.500 0.500 0.500 Au
0.250 0.250 0.250 Br
0.750 0.750 0.750 Br
```

Summary:
Calculated volume, Å³ per atom: 22.97
Energy, eV per cell: -8.8
Mass density, Mg/m³: 8.4
E_form (uncorrected), eV/atom: 0.1663
DOS(E_F), states/eV/atom: 0.21
Excess energy over the best structure of this formula in the dataset, meV/atom: 369

# 7
A plane-wave DFT calculation with PBE was carried out for crystalline Ag4Au2Br9 at its relaxed geometry.

POSCAR file:
```
Ag4Au2Br9
1.0
7.071 0.000 0.000
-2.540 6.674 0.000
-0.638 -1.098 19.599
Ag Au Br
8 4 18
Direct
0.008 0.340 0.188 Ag
0.169 0.830 0.000 Ag
0.235 0.624 0.508 Ag
0.335 0.011 0.188 Ag
0.665 0.989 0.812 Ag
0.765 0.376 0.492 Ag
0.831 0.170 0.000 Ag
0.992 0.660 0.812 Ag
0.113 0.100 0.612 Au
0.397 0.393 0.850 Au
0.603 0.607 0.150 Au
0.887 0.900 0.388 Au
0.043 0.050 0.279 Br
0.095 0.677 0.385 Br
0.138 0.458 0.928 Br
0.156 0.159 0.092 Br
0.286 0.265 0.507 Br
0.330 0.888 0.613 Br
0.341 0.641 0.766 Br
0.354 0.666 0.234 Br
0.460 0.135 0.928 Br
0.540 0.865 0.072 Br
0.646 0.334 0.766 Br
0.659 0.359 0.234 Br
0.670 0.112 0.387 Br
0.714 0.735 0.493 Br
0.844 0.841 0.908 Br
0.862 0.542 0.072 Br
0.905 0.323 0.615 Br
0.957 0.950 0.721 Br
```

Summary:
Calculated volume, Å³ per atom: 30.83
Energy, eV per cell: -72.7
Mass density, Mg/m³: 5.5
E_form (uncorrected), eV/atom: -0.2230
DOS(E_F), states/eV/atom: 0.44

# 8
A plane-wave DFT calculation with PBE was carried out for crystalline AgAuBr at its relaxed geometry.

POSCAR file:
```
AgAuBr
1.0
0.000 3.335 3.335
3.335 0.000 3.335
3.335 3.335 0.000
Ag Au Br
1 1 1
Direct
0.000 0.000 0.000 Ag
0.250 0.250 0.250 Au
0.500 0.500 0.500 Br
```

Summary:
Calculated volume, Å³ per atom: 24.72
Energy, eV per cell: -7.1
Mass density, Mg/m³: 8.6
E_form (uncorrected), eV/atom: 0.2475
DOS(E_F), states/eV/atom: 0.40
Excess energy over the best structure of this formula in the dataset, meV/atom: 227